Model a:
A plane-wave DFT calculation with PBE was carried out for a geometry-optimized KNa2PPd structure. Values from VASP.

The calculation puts the density of states at the Fermi level at 1.69 states/eV/cell. The volume comes out at 27.66 A^3/atom.

```
&SYSTEM
  ibrav = 0, nat = 5, ntyp = 4
/
ATOMIC_SPECIES
K 39.10 K.upf
Na 22.99 Na.upf
P 30.97 P.upf
Pd 106.42 Pd.upf
CELL_PARAMETERS angstrom
5.457 0.000 0.000
0.000 5.457 0.000
0.000 0.000 4.643
ATOMIC_POSITIONS crystal
K 0.000 0.000 0.000
Na 0.000 0.500 0.500
Na 0.500 0.000 0.500
P 0.500 0.500 0.500
Pd 0.500 0.500 0.000
```

Model b:
A plane-wave DFT calculation with PBE was carried out for a geometry-optimized KNa2PPd structure. Values from VASP.

The calculation puts the density of states at the Fermi level at 2.12 states/eV/cell. The volume comes out at 27.74 A^3/atom.

```
&SYSTEM
  ibrav = 0, nat = 5, ntyp = 4
/
ATOMIC_SPECIES
K 39.10 K.upf
Na 22.99 Na.upf
P 30.97 P.upf
Pd 106.42 Pd.upf
CELL_PARAMETERS angstrom
5.508 0.000 0.000
0.000 5.508 0.000
0.000 0.000 4.572
ATOMIC_POSITIONS crystal
K 0.000 0.000 0.000
Na 0.000 0.500 0.500
Na 0.500 0.000 0.500
P 0.500 0.500 0.000
Pd 0.500 0.500 0.500
```

Best to worst by energy: model a, model b.

Model a:
A plane-wave DFT calculation with PBE was carried out for a geometry-optimized KNaSr2P structure. Values from VASP.

The calculation puts the density of states at the Fermi level at 2.84 states/eV/cell. The volume comes out at 45.92 A^3/atom.

```
&SYSTEM
  ibrav = 0, nat = 5, ntyp = 4
/
ATOMIC_SPECIES
K 39.10 K.upf
Na 22.99 Na.upf
Sr 87.62 Sr.upf
P 30.97 P.upf
CELL_PARAMETERS angstrom
5.944 0.000 0.000
0.000 5.944 0.000
0.000 0.000 6.498
ATOMIC_POSITIONS crystal
K 0.000 0.000 0.000
Na 0.500 0.500 0.000
Sr 0.000 0.500 0.500
Sr 0.500 0.000 0.500
P 0.000 0.000 0.500
```

Model b:
A plane-wave DFT calculation with PBE was carried out for a geometry-optimized KNaSr2P structure. Values from VASP.

The calculation puts the density of states at the Fermi level at 3.65 states/eV/cell. The volume comes out at 43.67 A^3/atom.

```
&SYSTEM
  ibrav = 0, nat = 5, ntyp = 4
/
ATOMIC_SPECIES
K 39.10 K.upf
Na 22.99 Na.upf
Sr 87.62 Sr.upf
P 30.97 P.upf
CELL_PARAMETERS angstrom
6.015 0.000 0.000
0.000 6.015 0.000
0.000 0.000 6.035
ATOMIC_POSITIONS crystal
K 0.000 0.000 0.000
Na 0.500 0.500 0.000
Sr 0.000 0.500 0.500
Sr 0.500 0.000 0.500
P 0.500 0.500 0.500
```

Best to worst by energy: model a, model b.

Model a:
A plane-wave DFT calculation with PBE was carried out for a geometry-optimized KNaPb3 structure. Values from VASP.

The calculation puts the density of states at the Fermi level at 3.31 states/eV/cell. The volume comes out at 44.83 A^3/atom.

```
&SYSTEM
  ibrav = 0, nat = 5, ntyp = 3
/
ATOMIC_SPECIES
K 39.10 K.upf
Na 22.99 Na.upf
Pb 207.20 Pb.upf
CELL_PARAMETERS angstrom
6.075 0.000 0.000
0.000 6.075 0.000
0.000 0.000 6.075
ATOMIC_POSITIONS crystal
K 0.000 0.000 0.000
Na 0.500 0.500 0.500
Pb 0.000 0.000 0.500
Pb 0.000 0.500 0.000
Pb 0.500 0.000 0.000
```

Model b:
A plane-wave DFT calculation with PBE was carried out for a geometry-optimized KNaPb3 structure. Values from VASP.

The calculation puts the density of states at the Fermi level at 3.17 states/eV/cell. The volume comes out at 37.37 A^3/atom.

```
&SYSTEM
  ibrav = 0, nat = 5, ntyp = 3
/
ATOMIC_SPECIES
K 39.10 K.upf
Na 22.99 Na.upf
Pb 207.20 Pb.upf
CELL_PARAMETERS angstrom
5.717 0.000 0.000
0.000 5.717 0.000
0.000 0.000 5.717
ATOMIC_POSITIONS crystal
K 0.000 0.000 0.000
Na 0.500 0.500 0.500
Pb 0.000 0.500 0.500
Pb 0.500 0.000 0.500
Pb 0.500 0.500 0.000
```

Model c:
A plane-wave DFT calculation with PBE was carried out for a geometry-optimized KNaPb3 structure. Values from VASP.

The calculation puts the density of states at the Fermi level at 4.52 states/eV/cell. The volume comes out at 35.57 A^3/atom.

```
&SYSTEM
  ibrav = 0, nat = 10, ntyp = 3
/
ATOMIC_SPECIES
K 39.10 K.upf
Na 22.99 Na.upf
Pb 207.20 Pb.upf
CELL_PARAMETERS angstrom
3.587 -7.710 0.000
3.587 7.710 0.000
0.000 0.000 6.431
ATOMIC_POSITIONS crystal
K 0.102 0.898 0.750
K 0.898 0.102 0.250
Na 0.500 0.500 0.000
Na 0.500 0.500 0.500
Pb 0.112 0.448 0.750
Pb 0.321 0.679 0.250
Pb 0.448 0.112 0.250
Pb 0.552 0.888 0.750
Pb 0.679 0.321 0.750
Pb 0.888 0.552 0.250
```

Model d:
A plane-wave DFT calculation with PBE was carried out for a geometry-optimized KNaPb3 structure. Values from VASP.

The calculation puts the density of states at the Fermi level at 8.20 states/eV/cell. The volume comes out at 34.36 A^3/atom.

```
&SYSTEM
  ibrav = 0, nat = 20, ntyp = 3
/
ATOMIC_SPECIES
K 39.10 K.upf
Na 22.99 Na.upf
Pb 207.20 Pb.upf
CELL_PARAMETERS angstrom
14.746 0.000 0.000
0.000 6.783 0.000
0.000 0.000 6.870
ATOMIC_POSITIONS crystal
K 0.250 0.000 0.075
K 0.250 0.500 0.425
K 0.750 0.000 0.925
K 0.750 0.500 0.575
Na 0.042 0.250 0.250
Na 0.458 0.750 0.250
Na 0.542 0.250 0.750
Na 0.958 0.750 0.750
Pb 0.012 0.750 0.250
Pb 0.143 0.554 0.903
Pb 0.143 0.946 0.597
Pb 0.357 0.054 0.597
Pb 0.357 0.446 0.903
Pb 0.488 0.250 0.250
Pb 0.512 0.750 0.750
Pb 0.643 0.554 0.097
Pb 0.643 0.946 0.403
Pb 0.857 0.054 0.403
Pb 0.857 0.446 0.097
Pb 0.988 0.250 0.750
```

Best to worst by energy: model c, model d, model b, model a.

Model a:
A plane-wave DFT calculation with PBE was carried out for a geometry-optimized K2Na6Pb structure. Values from VASP.

The calculation puts the density of states at the Fermi level at 4.44 states/eV/cell. The volume comes out at 41.61 A^3/atom.

```
&SYSTEM
  ibrav = 0, nat = 9, ntyp = 3
/
ATOMIC_SPECIES
K 39.10 K.upf
Na 22.99 Na.upf
Pb 207.20 Pb.upf
CELL_PARAMETERS angstrom
10.745 0.000 0.000
-5.373 9.306 0.000
0.000 0.000 3.745
ATOMIC_POSITIONS crystal
K 0.333 0.667 0.000
K 0.667 0.333 0.000
Na 0.000 0.295 0.749
Na 0.000 0.705 0.251
Na 0.295 0.000 0.749
Na 0.295 0.295 0.251
Na 0.705 0.000 0.251
Na 0.705 0.705 0.749
Pb 0.000 0.000 0.500
```

Model b:
A plane-wave DFT calculation with PBE was carried out for a geometry-optimized K2Na6Pb structure. Values from VASP.

The calculation puts the density of states at the Fermi level at 4.63 states/eV/cell. The volume comes out at 40.45 A^3/atom.

```
&SYSTEM
  ibrav = 0, nat = 9, ntyp = 3
/
ATOMIC_SPECIES
K 39.10 K.upf
Na 22.99 Na.upf
Pb 207.20 Pb.upf
CELL_PARAMETERS angstrom
6.227 -3.525 0.000
6.227 3.525 0.000
-0.923 0.000 8.294
ATOMIC_POSITIONS crystal
K 0.175 0.175 0.102
K 0.825 0.825 0.898
Na 0.191 0.686 0.309
Na 0.312 0.312 0.645
Na 0.314 0.809 0.691
Na 0.686 0.191 0.309
Na 0.688 0.688 0.355
Na 0.809 0.314 0.691
Pb 0.500 0.500 0.000
```

Best to worst by energy: model b, model a.

Model a:
A plane-wave DFT calculation with PBE was carried out for a geometry-optimized K2Na3Pb structure. Values from VASP.

The calculation puts the density of states at the Fermi level at 5.14 states/eV/cell. The volume comes out at 39.84 A^3/atom.

```
&SYSTEM
  ibrav = 0, nat = 12, ntyp = 3
/
ATOMIC_SPECIES
K 39.10 K.upf
Na 22.99 Na.upf
Pb 207.20 Pb.upf
CELL_PARAMETERS angstrom
11.827 0.000 0.000
0.000 7.024 0.000
-3.832 0.000 5.755
ATOMIC_POSITIONS crystal
K 0.130 0.000 0.369
K 0.370 0.500 0.631
K 0.630 0.500 0.369
K 0.870 0.000 0.631
Na 0.000 0.500 0.500
Na 0.250 0.250 0.000
Na 0.250 0.750 0.000
Na 0.500 0.000 0.500
Na 0.750 0.250 0.000
Na 0.750 0.750 0.000
Pb 0.000 0.500 0.000
Pb 0.500 0.000 0.000
```

Model b:
A plane-wave DFT calculation with PBE was carried out for a geometry-optimized K2Na3Pb structure. Values from VASP.

The calculation puts the density of states at the Fermi level at 6.45 states/eV/cell. The volume comes out at 43.69 A^3/atom.

```
&SYSTEM
  ibrav = 0, nat = 12, ntyp = 3
/
ATOMIC_SPECIES
K 39.10 K.upf
Na 22.99 Na.upf
Pb 207.20 Pb.upf
CELL_PARAMETERS angstrom
5.908 0.000 0.000
0.000 6.770 0.000
0.000 0.000 13.106
ATOMIC_POSITIONS crystal
K 0.000 0.000 0.209
K 0.000 0.000 0.791
K 0.500 0.500 0.291
K 0.500 0.500 0.709
Na 0.000 0.500 0.112
Na 0.000 0.500 0.500
Na 0.000 0.500 0.888
Na 0.500 0.000 0.000
Na 0.500 0.000 0.388
Na 0.500 0.000 0.612
Pb 0.000 0.000 0.500
Pb 0.500 0.500 0.000
```

Best to worst by energy: model a, model b.

Model a:
A plane-wave DFT calculation with PBE was carried out for a geometry-optimized KNaPb2 structure. Values from VASP.

The calculation puts the density of states at the Fermi level at 4.56 states/eV/cell. The volume comes out at 32.90 A^3/atom.

```
&SYSTEM
  ibrav = 0, nat = 12, ntyp = 3
/
ATOMIC_SPECIES
K 39.10 K.upf
Na 22.99 Na.upf
Pb 207.20 Pb.upf
CELL_PARAMETERS angstrom
3.635 0.000 0.000
-1.817 3.148 0.000
0.000 0.000 34.499
ATOMIC_POSITIONS crystal
K 0.000 0.000 0.000
K 0.333 0.667 0.667
K 0.667 0.333 0.333
Na 0.000 0.000 0.500
Na 0.333 0.667 0.167
Na 0.667 0.333 0.833
Pb 0.000 0.000 0.244
Pb 0.000 0.000 0.756
Pb 0.333 0.667 0.422
Pb 0.333 0.667 0.911
Pb 0.667 0.333 0.089
Pb 0.667 0.333 0.578
```

Model b:
A plane-wave DFT calculation with PBE was carried out for a geometry-optimized KNaPb2 structure. Values from VASP.

The calculation puts the density of states at the Fermi level at 0.76 states/eV/cell. The volume comes out at 32.38 A^3/atom.

```
&SYSTEM
  ibrav = 0, nat = 16, ntyp = 3
/
ATOMIC_SPECIES
K 39.10 K.upf
Na 22.99 Na.upf
Pb 207.20 Pb.upf
CELL_PARAMETERS angstrom
8.032 0.000 0.000
0.000 8.032 0.000
0.000 0.000 8.032
ATOMIC_POSITIONS crystal
K 0.000 0.000 0.000
K 0.000 0.500 0.500
K 0.500 0.000 0.500
K 0.500 0.500 0.000
Na 0.000 0.000 0.500
Na 0.000 0.500 0.000
Na 0.500 0.000 0.000
Na 0.500 0.500 0.500
Pb 0.250 0.250 0.250
Pb 0.250 0.250 0.750
Pb 0.250 0.750 0.250
Pb 0.250 0.750 0.750
Pb 0.750 0.250 0.250
Pb 0.750 0.250 0.750
Pb 0.750 0.750 0.250
Pb 0.750 0.750 0.750
```

Best to worst by energy: model b, model a.